[1]
# GdSc2As3

A relaxed GdSc2As3 crystal (PBE-GGA, OQMD via LeMat-Bulk).

Results
Density in g/cm³: 5.92
Symmetry: P-3m1
Total DFT energy (no corrections) in eV/cell: -39.8

Cell and atoms, written as POSCAR:
```
GdSc2As3
1.0
3.9716 0.0000 0.0000
-1.9858 3.4395 0.0000
0.0000 0.0000 9.6968
Gd Sc As
1 2 3
direct
0.0000 0.0000 0.0000
0.3333 0.6667 0.3404
0.6667 0.3333 0.6596
0.0000 0.0000 0.5000
0.3333 0.6667 0.8177
0.6667 0.3333 0.1823
```



[2]
# Gd2ScAs3

A relaxed Gd2ScAs3 crystal (PBE-GGA, OQMD via LeMat-Bulk).

Results
Density in g/cm³: 6.85
Symmetry: P-3m1
Total DFT energy (no corrections) in eV/cell: -38.4

Cell and atoms, written as POSCAR:
```
Gd2ScAs3
1.0
4.0610 0.0000 0.0000
-2.0305 3.5169 0.0000
0.0000 0.0000 9.9129
Gd Sc As
2 1 3
direct
0.3333 0.6667 0.3261
0.6667 0.3333 0.6739
0.0000 0.0000 0.0000
0.0000 0.0000 0.5000
0.3333 0.6667 0.8488
0.6667 0.3333 0.1512
```



[3]
# GdSiAs

A relaxed GdSiAs crystal (PBE-GGA, OQMD via LeMat-Bulk).

Results
Density in g/cm³: 5.94
Symmetry: F-43m
Total DFT energy (no corrections) in eV/cell: -15.2

Cell and atoms, written as POSCAR:
```
GdSiAs
1.0
0.0000 3.3139 3.3139
3.3139 0.0000 3.3139
3.3139 3.3139 0.0000
Gd Si As
1 1 1
direct
0.0000 0.0000 0.0000
0.7500 0.7500 0.7500
0.5000 0.5000 0.5000
```



[4]
# GdSiAs

A relaxed GdSiAs crystal (PBE-GGA, OQMD via LeMat-Bulk).

Results
Density in g/cm³: 5.60
Symmetry: F-43m
Total DFT energy (no corrections) in eV/cell: -15.0

Cell and atoms, written as POSCAR:
```
GdSiAs
1.0
0.0000 3.3792 3.3792
3.3792 0.0000 3.3792
3.3792 3.3792 0.0000
Gd Si As
1 1 1
direct
0.0000 0.0000 0.0000
0.2500 0.2500 0.2500
0.7500 0.7500 0.7500
```



[5]
# SmGdAs

A relaxed SmGdAs crystal (PBE-GGA, OQMD via LeMat-Bulk).

Results
Density in g/cm³: 7.65
Symmetry: F-43m
Energy above the lowest structure with this stoichiometry in eV per atom: 0.0000

Cell and atoms, written as POSCAR:
```
SmGdAs
1.0
0.0000 3.4621 3.4621
3.4621 0.0000 3.4621
3.4621 3.4621 0.0000
Sm Gd As
1 1 1
direct
0.0000 0.0000 0.0000
0.5000 0.5000 0.5000
0.7500 0.7500 0.7500
```



[6]
# SmGd2As3

A relaxed SmGd2As3 crystal (PBE-GGA, OQMD via LeMat-Bulk).

Results
Density in g/cm³: 7.42
Symmetry: P-3m1
Total DFT energy (no corrections) in eV/cell: -37.2

Cell and atoms, written as POSCAR:
```
SmGd2As3
1.0
4.1746 0.0000 0.0000
-2.0873 3.6153 0.0000
0.0000 0.0000 10.2194
Sm Gd As
1 2 3
direct
0.0000 0.0000 0.0000
0.3333 0.6667 0.3346
0.6667 0.3333 0.6654
0.0000 0.0000 0.5000
0.3333 0.6667 0.8305
0.6667 0.3333 0.1695
```



[7]
# GdSnAs

A relaxed GdSnAs crystal (PBE-GGA, OQMD via LeMat-Bulk).

Results
Density in g/cm³: 6.93
Symmetry: F-43m
Total DFT energy (no corrections) in eV/cell: -14.6

Cell and atoms, written as POSCAR:
```
GdSnAs
1.0
0.0000 3.4767 3.4767
3.4767 0.0000 3.4767
3.4767 3.4767 0.0000
Gd Sn As
1 1 1
direct
0.0000 0.0000 0.0000
0.5000 0.5000 0.5000
0.2500 0.2500 0.2500
```



[8]
# GdSnAs

A relaxed GdSnAs crystal (PBE-GGA, OQMD via LeMat-Bulk).

Results
Density in g/cm³: 6.59
Symmetry: F-43m
Total DFT energy (no corrections) in eV/cell: -14.1

Cell and atoms, written as POSCAR:
```
GdSnAs
1.0
0.0000 3.5361 3.5361
3.5361 0.0000 3.5361
3.5361 3.5361 0.0000
Gd Sn As
1 1 1
direct
0.0000 0.0000 0.0000
0.2500 0.2500 0.2500
0.7500 0.7500 0.7500
```